(1)
The following is a PBE calculation of a relaxed RbCuI2Cl6 crystal, from Alexandria via LeMat-Bulk.

a = 7.331 Å, b = 7.716 Å, c = 7.802 Å
α = 112.64°, β = 104.47°, γ = 94.98°
Element x y z (fractional)
1 Rb 0.000 0.000 0.000
2 Cu 0.499 0.501 0.999
3 I 0.149 0.714 0.344
4 I 0.850 0.286 0.656
5 Cl 0.092 0.263 0.483
6 Cl 0.382 0.761 0.149
7 Cl 0.384 0.342 0.139
8 Cl 0.615 0.659 0.858
9 Cl 0.617 0.240 0.850
10 Cl 0.909 0.736 0.517

## Properties
Symmetry: P1 (1)

=====

(2)
The following is a PBE calculation of a relaxed La3FeCoS7 crystal, from Alexandria via LeMat-Bulk.

a = 10.042 Å, b = 10.042 Å, c = 6.145 Å
α = 90.00°, β = 90.00°, γ = 120.00°
Element x y z (fractional)
1 La 0.151 0.774 0.000
2 La 0.226 0.377 0.000
3 La 0.377 0.151 0.500
4 La 0.623 0.849 0.000
5 La 0.774 0.623 0.500
6 La 0.849 0.226 0.500
7 Fe 0.333 0.667 0.583
8 Fe 0.667 0.333 0.083
9 Co 0.000 0.000 0.171
10 Co 0.000 0.000 0.671
11 S 0.085 0.876 0.418
12 S 0.094 0.519 0.719
13 S 0.124 0.210 0.418
14 S 0.210 0.085 0.918
15 S 0.333 0.667 0.218
16 S 0.426 0.906 0.719
17 S 0.481 0.574 0.719
18 S 0.519 0.426 0.219
19 S 0.574 0.094 0.219
20 S 0.667 0.333 0.718
21 S 0.790 0.915 0.418
22 S 0.876 0.790 0.918
23 S 0.906 0.481 0.219
24 S 0.915 0.124 0.918

## Properties
Symmetry: P6_3 (173)

=====

Taking the records one at a time from the top gives ΔE_f (raw) values of -0.59; -1.45 eV per atom.